# Fe2Hg2I7 PBE relaxed
# uncorrected formation energy: -0.078 eV per atom
# D(E_F): 1.894 states/eV per cell
# VASP energy: -2.6581 eV/atom
data_Fe2Hg2I7
_chemical_formula_sum 'Fe4 Hg4 I14'
_space_group_name_H-M_alt 'C 1 2/m 1'
_space_group_IT_number 12
_cell_length_a 10.9876
_cell_length_b 11.6739
_cell_length_c 7.7893
_cell_angle_alpha 90.00
_cell_angle_beta 105.81
_cell_angle_gamma 90.00
loop_
_space_group_symop_operation_xyz
'x,y,z'
'-x,-y,-z'
'-x,y,-z'
'x,-y,z'
'x+1/2,y+1/2,z'
'-x+1/2,-y+1/2,-z'
'-x+1/2,y+1/2,-z'
'x+1/2,-y+1/2,z'
loop_
_atom_site_label
_atom_site_type_symbol
_atom_site_fract_x
_atom_site_fract_y
_atom_site_fract_z
_atom_site_occupancy
Fe1 Fe 0.2461 0.0000 0.3998 1
Hg1 Hg 0.0000 0.3778 0.0000 1
I1 I 0.0000 0.5000 0.5000 1
I2 I 0.1730 0.0000 0.6770 1
I3 I 0.1851 0.1769 0.2062 1